TmZrAu PBE optimized geometry; raw total energy = -0.404 Ry per atom; energy above the lowest structure with this stoichiometry = 0.000 eV/atom; crystal system = hexagonal; DFT formation energy = -69.8 meV per atom
1.0
4.8274 0.0000 0.0000
-2.4137 4.1806 0.0000
0.0000 0.0000 6.9328
Au Tm Zr
2 2 2
direct
0.0000 0.0000 0.2787
0.0000 0.0000 0.7213
0.6667 0.3333 0.2460
0.6667 0.3333 0.7540
0.3333 0.6667 0.0000
0.3333 0.6667 0.5000



UAu PBE optimized geometry; raw total energy = -0.467 Ry per atom; crystal system = cubic; DFT formation energy = 933.2 meV per atom
1.0
0.0000 3.2913 3.2913
3.2913 0.0000 3.2913
3.2913 3.2913 0.0000
Au U
1 1
direct
0.0000 0.0000 0.0000
0.2500 0.2500 0.2500



UAu2 PBE optimized geometry; raw total energy = -0.457 Ry per atom; crystal system = hexagonal; DFT formation energy = -278.7 meV per atom
1.0
-4.6094 0.8612 -1.3067
2.1292 -4.2052 -1.2157
-0.9638 -1.2354 2.5855
Au U
2 1
direct
0.6667 0.3334 0.5000
0.3334 0.6667 0.5000
0.0000 0.0000 0.0000



UAu PBE optimized geometry; raw total energy = -0.532 Ry per atom; crystal system = hexagonal; DFT formation energy = 44.4 meV per atom
1.0
-0.9084 0.6416 -2.7801
-1.6374 -1.8157 1.7285
-2.7209 4.2290 1.8650
Au U
1 1
direct
0.6667 0.3333 0.7500
0.3333 0.6667 0.2500



UZnAu PBE optimized geometry; raw total energy = -0.348 Ry per atom; crystal system = cubic; DFT formation energy = 541.8 meV per atom
1.0
0.0000 3.3800 3.3800
3.3800 0.0000 3.3800
3.3800 3.3800 0.0000
Au U Zn
1 1 1
direct
0.2500 0.2500 0.2500
0.0000 0.0000 0.0000
0.7500 0.7500 0.7500



UZnAu PBE optimized geometry; raw total energy = -0.365 Ry per atom; crystal system = cubic; DFT formation energy = 315.8 meV per atom
1.0
0.0000 3.2408 3.2408
3.2408 0.0000 3.2408
3.2408 3.2408 0.0000
Au U Zn
1 1 1
direct
0.2500 0.2500 0.2500
0.7500 0.7500 0.7500
0.0000 0.0000 0.0000



U3ZnAu2 PBE optimized geometry; raw total energy = -0.499 Ry per atom; crystal system = tetragonal; DFT formation energy = 159.1 meV per atom
1.0
-3.2556 2.9412 -0.2016
-0.4662 -0.8102 -4.2914
-4.6426 -5.0391 1.4557
Au U Zn
2 3 1
direct
0.5000 0.0000 0.2849
0.0000 0.5000 0.7151
0.5000 0.5000 0.0000
0.0000 0.5000 0.3077
0.5000 0.0000 0.6923
0.0000 0.0000 0.0000



ZnW2Au PBE optimized geometry; raw total energy = -0.523 Ry per atom; crystal system = cubic; DFT formation energy = 501.5 meV per atom
1.0
0.0000 3.1905 3.1905
3.1905 0.0000 3.1905
3.1905 3.1905 0.0000
Au W Zn
1 2 1
direct
0.7500 0.7500 0.7500
0.0000 0.0000 0.0000
0.2500 0.2500 0.2500
0.5000 0.5000 0.5000